Compound: CaHoCd2
Source: Alexandria via LeMat-Bulk
Functional: SCAN
Structure: PBEsol geometry

Output
* VASP energy: -30.3055 eV per atom
* formation energy from the elements: -0.435 eV per atom
* space-group type: No. 225

a = 5.2238 Å, b = 5.2238 Å, c = 5.2238 Å
α = 60.00°, β = 60.00°, γ = 60.00°
Last column: nearest neighbours and their distance in Å.
Sites, in units of the cell vectors:
Ca: 0.5000 0.5000 0.5000  8 Cd 3.20
Cd: 0.7500 0.7500 0.7500  4 Ca 3.20, 4 Ho 3.20
Ho: 0.0000 0.0000 0.0000  8 Cd 3.20
Cd: 0.2500 0.2500 0.2500  4 Ca 3.20, 4 Ho 3.20